No. 1
The following is a GGA-PBE calculation of a relaxed structure of CsZr3N5, from OQMD via LeMat-Bulk.

```
CsZr3N5
1.0
-4.1568 -0.1168 3.8624
5.4229 -0.2188 1.6599
0.1499 6.4079 0.3551
Cs N Zr
1 5 3
Direct
0.0000 0.0000 0.0000
0.6667 0.3333 0.2867
0.3333 0.6667 0.2867
0.0000 0.0000 0.5000
0.6667 0.3333 0.7133
0.3333 0.6667 0.7133
0.5000 0.0000 0.5000
0.0000 0.5000 0.5000
0.5000 0.5000 0.5000
```

Properties
Total energy = -68.2 eV per cell


No. 2
The following is a GGA-PBE calculation of a relaxed structure of InPdAu3O4, from OQMD via LeMat-Bulk.

```
InPdAu3O4
1.0
-2.1139 -3.3849 -3.4693
3.8915 1.0712 -3.4163
2.8897 -3.9188 2.0628
Au In O Pd
3 1 4 1
Direct
0.5000 0.5000 0.0000
0.5000 0.0000 0.5000
0.0000 0.5000 0.5000
0.0000 0.0000 0.0000
0.2256 0.2256 0.2256
0.7744 0.7744 0.2256
0.7744 0.2256 0.7744
0.2256 0.7744 0.7744
0.5000 0.5000 0.5000
```

Properties
Total energy = -36.2 eV per cell


No. 3
The following is a GGA-PBE calculation of a relaxed structure of NdMg2, from OQMD via LeMat-Bulk.

```
NdMg2
1.0
-12.3993 -2.7516 -6.9477
0.8450 -4.2758 0.1853
-2.4988 -0.2954 4.5764
Mg Nd
8 4
Direct
0.3152 0.0000 0.0000
0.9627 0.0000 0.0000
0.4627 0.5000 0.0000
0.8150 0.5000 0.0000
0.1294 0.0000 0.5000
0.4817 0.0000 0.5000
0.6292 0.5000 0.5000
0.9817 0.5000 0.5000
0.6341 0.0000 0.0000
0.1343 0.5000 0.0000
0.8101 0.0000 0.5000
0.3104 0.5000 0.5000
```

Properties
Total energy = -32.1 eV per cell


No. 4
The following is a GGA-PBE calculation of a relaxed structure of TcAuO3, from OQMD via LeMat-Bulk.

```
TcAuO3
1.0
4.6990 1.4549 -2.0502
4.3760 -2.8407 1.0873
2.1244 -3.4513 -4.5065
Au O Tc
2 6 2
Direct
0.6312 0.6312 0.1065
0.3688 0.3688 0.8935
0.9576 0.5632 0.2907
0.1885 0.9577 0.2907
0.5631 0.1885 0.2907
0.4369 0.8115 0.7093
0.8115 0.0424 0.7093
0.0424 0.4368 0.7093
0.8390 0.8390 0.4829
0.1610 0.1610 0.5171
```

Properties
Total energy = -63.3 eV per cell


No. 5
The following is a GGA-PBE calculation of a relaxed structure of Tm3Mg3CdPt2, from OQMD via LeMat-Bulk.

```
Tm3Mg3CdPt2
1.0
-7.4189 0.3095 -0.5926
3.1520 -1.4729 6.5865
0.0992 3.9983 0.8467
Cd Mg Pt Tm
1 3 2 3
Direct
0.0000 0.0000 0.0000
0.2583 0.0000 0.5000
0.0000 0.2583 0.5000
0.7417 0.7417 0.5000
0.6667 0.3333 0.5000
0.3333 0.6667 0.5000
0.5767 0.0000 0.0000
0.4233 0.4233 0.0000
0.0000 0.5767 0.0000
```

Properties
Total energy = -37.3 eV per cell


No. 6
The following is a GGA-PBE calculation of a relaxed structure of TbY2Al7Ag2, from OQMD via LeMat-Bulk.

```
TbY2Al7Ag2
1.0
7.3276 5.7856 0.3875
8.9349 1.2730 -2.4218
5.9588 5.2125 -4.9639
Ag Al Tb Y
2 7 1 2
Direct
0.3358 0.3358 0.3358
0.6642 0.6642 0.6642
0.5878 0.5878 0.0757
0.9243 0.4122 0.4122
0.4122 0.9243 0.4122
0.5000 0.5000 0.5000
0.5878 0.0757 0.5878
0.0757 0.5878 0.5878
0.4122 0.4122 0.9243
0.0000 0.0000 0.0000
0.1421 0.1421 0.1421
0.8579 0.8579 0.8579
```

Properties
Total energy = -55.0 eV per cell


No. 7
The following is a GGA-PBE calculation of a relaxed structure of TbGdIn4Pt2, from OQMD via LeMat-Bulk.

```
TbGdIn4Pt2
1.0
-5.8900 2.1734 4.4711
3.2515 -0.6857 4.6167
3.4856 3.4020 2.9381
Gd In Pt Tb
1 4 2 1
Direct
0.5000 0.5733 0.5733
0.1996 0.1375 0.1375
0.8004 0.1375 0.1375
0.2998 0.8626 0.8626
0.7002 0.8626 0.8626
0.5000 0.2842 0.2842
0.0000 0.7157 0.7157
0.0000 0.4265 0.4265
```

Properties
Total energy = -38.3 eV per cell


No. 8
The following is a GGA-PBE calculation of a relaxed structure of LiCuTe2IrSe, from OQMD via LeMat-Bulk.

```
LiCuTe2IrSe
1.0
-2.9373 5.5894 2.3947
-0.0767 -4.7977 -4.7518
-5.8813 -5.5185 5.6667
Cu Ir Li Se Te
2 2 2 2 4
Direct
0.9646 0.0354 0.2500
0.0354 0.9646 0.7500
0.5000 0.5000 0.0000
0.5000 0.5000 0.5000
0.2444 0.7556 0.2500
0.7556 0.2444 0.7500
0.5759 0.4241 0.2500
0.4241 0.5759 0.7500
0.8569 0.1431 0.0311
0.8569 0.1431 0.4689
0.1431 0.8569 0.5311
0.1431 0.8569 0.9689
```

Properties
Total energy = -51.4 eV per cell


No. 9
The following is a GGA-PBE calculation of a relaxed structure of SrTlCdAu, from OQMD via LeMat-Bulk.

```
SrTlCdAu
1.0
4.1892 1.0910 2.9754
0.7144 4.8652 1.8470
-0.6020 0.9781 5.1257
Au Cd Sr Tl
1 1 1 1
Direct
0.7500 0.7500 0.7500
0.0000 0.0000 0.0000
0.2500 0.2500 0.2500
0.5000 0.5000 0.5000
```

Properties
ΔE to the lowest computed polymorph = 73 meV/atom


No. 10
The following is a GGA-PBE calculation of a relaxed structure of Mo3As5Au, from OQMD via LeMat-Bulk.

```
Mo3As5Au
1.0
-4.2390 2.3191 2.2102
-0.6526 -3.6846 -3.7722
-0.1857 -5.3523 5.2602
As Au Mo
5 1 3
Direct
0.6667 0.3333 0.2087
0.3333 0.6667 0.2087
0.0000 0.0000 0.5000
0.6667 0.3333 0.7913
0.3333 0.6667 0.7913
0.0000 0.0000 0.0000
0.5000 0.0000 0.5000
0.0000 0.5000 0.5000
0.5000 0.5000 0.5000
```

Properties
Total energy = -57.4 eV per cell


No. 11
The following is a GGA-PBE calculation of a relaxed structure of Cu5Ag4, from OQMD via LeMat-Bulk.

```
Cu5Ag4
1.0
0.0000 5.9357 5.6212
1.9651 0.0000 5.6212
1.9651 5.9357 0.0000
Ag Cu
4 5
Direct
0.0034 0.6670 0.3330
0.6575 0.6575 0.3425
0.3412 0.3412 0.6588
0.6670 0.0034 0.9966
0.3264 0.9848 0.0152
0.3360 0.6792 0.3208
0.6792 0.3360 0.6640
0.9848 0.3264 0.6736
0.0044 0.0044 0.9956
```

Properties
ΔE to the lowest computed polymorph = 49 meV/atom
Formation energy = 0.09 eV/atom


No. 12
The following is a GGA-PBE calculation of a relaxed structure of Te2WSeSBr, from OQMD via LeMat-Bulk.

```
Te2WSeSBr
1.0
-2.7307 5.7853 -1.0734
-3.2501 -1.1347 7.3837
8.5415 0.4217 0.1226
Br S Se Te W
2 2 2 4 2
Direct
0.6675 0.7582 0.3955
0.3325 0.2418 0.6045
0.5358 0.2264 0.0102
0.4642 0.7736 0.9898
0.6651 0.2010 0.2750
0.3349 0.7990 0.7250
0.1263 0.3289 0.1657
0.1078 0.9104 0.2402
0.8922 0.0896 0.7598
0.8737 0.6711 0.8343
0.2288 0.0006 0.0006
0.7712 0.9994 0.9994
```

Properties
ΔE to the lowest computed polymorph = 68 meV/atom